[1]
The following is a PBE-GGA calculation of crystalline TlBRh3 at its relaxed geometry, from Alexandria via LeMat-Bulk.

Cell and atoms, written as CIF:
```
data_TlBRh3
_cell_length_a 5.801
_cell_length_b 5.064
_cell_length_c 4.993
_cell_angle_alpha 90.00
_cell_angle_beta 90.00
_cell_angle_gamma 90.00
_space_group_name_H-M_alt 'P 1'
_space_group_IT_number 1
_space_group_name_Hall 'P 1'
loop_
_atom_site_label
_atom_site_fract_x
_atom_site_fract_y
_atom_site_fract_z
B1 0.062 0.211 0.542
B2 0.062 0.711 0.543
Tl1 0.562 0.961 0.250
Tl2 0.562 0.461 0.834
Rh1 0.062 0.961 0.214
Rh2 0.062 0.461 0.871
Rh3 0.304 0.961 0.739
Rh4 0.304 0.461 0.346
Rh5 0.820 0.461 0.346
Rh6 0.820 0.961 0.739
```

Summary:
**DFT formation energy**: -9 kJ per mole of atoms
**Crystal system**: orthorhombic
**Electronic total energy**: -6.313 eV/atom

[2]
The following is a PBE-GGA calculation of crystalline V4PIr2 at its relaxed geometry, from Alexandria via LeMat-Bulk.

Cell and atoms, written as CIF:
```
data_V4PIr2
_cell_length_a 4.246
_cell_length_b 4.246
_cell_length_c 6.918
_cell_angle_alpha 72.13
_cell_angle_beta 72.13
_cell_angle_gamma 90.00
_space_group_name_H-M_alt 'P 1'
_space_group_IT_number 1
_space_group_name_Hall 'P 1'
loop_
_atom_site_label
_atom_site_fract_x
_atom_site_fract_y
_atom_site_fract_z
V1 0.184 0.184 0.632
V2 0.816 0.816 0.368
V3 0.500 0.000 0.000
V4 0.000 0.500 0.000
P1 0.000 0.000 0.000
Ir1 0.632 0.632 0.737
Ir2 0.368 0.368 0.263
```

Summary:
**DFT formation energy**: 20 kJ per mole of atoms
**Crystal system**: tetragonal
**Electronic total energy**: -8.309 eV/atom

[3]
The following is a PBE-GGA calculation of crystalline Tc2TeAuI at its relaxed geometry, from Alexandria via LeMat-Bulk.

Cell and atoms, written as CIF:
```
data_Tc2TeAuI
_cell_length_a 5.149
_cell_length_b 5.149
_cell_length_c 5.222
_cell_angle_alpha 90.00
_cell_angle_beta 90.00
_cell_angle_gamma 90.00
_space_group_name_H-M_alt 'P 1'
_space_group_IT_number 1
_space_group_name_Hall 'P 1'
loop_
_atom_site_label
_atom_site_fract_x
_atom_site_fract_y
_atom_site_fract_z
Te1 0.000 0.000 0.000
Tc1 0.000 0.500 0.000
Tc2 0.500 0.000 0.000
Au1 0.000 0.000 0.500
I1 0.500 0.500 0.500
```

Summary:
**Formation energy from raw total energies**: 1.41 eV/atom
**Crystal system**: tetragonal
**Electronic total energy**: -4.334 eV/atom

[4]
The following is a PBE-GGA calculation of crystalline Zr2AlPdF at its relaxed geometry, from Alexandria via LeMat-Bulk.

Cell and atoms, written as CIF:
```
data_Zr2AlPdF
_cell_length_a 5.135
_cell_length_b 4.602
_cell_length_c 5.135
_cell_angle_alpha 90.00
_cell_angle_beta 90.00
_cell_angle_gamma 90.00
_space_group_name_H-M_alt 'P 1'
_space_group_IT_number 1
_space_group_name_Hall 'P 1'
loop_
_atom_site_label
_atom_site_fract_x
_atom_site_fract_y
_atom_site_fract_z
F1 0.500 0.500 0.500
Al1 0.000 0.500 0.000
Pd1 0.000 0.000 0.000
Zr1 0.500 0.000 0.000
Zr2 0.000 0.000 0.500
```

Summary:
**Formation energy from raw total energies**: 0.04 eV/atom
**Crystal system**: tetragonal
**Electronic total energy**: -5.536 eV/atom

[5]
The following is a PBE-GGA calculation of crystalline Mg2CrB2Ir5 at its relaxed geometry, from Alexandria via LeMat-Bulk.

Cell and atoms, written as CIF:
```
data_Mg2CrB2Ir5
_cell_length_a 9.507
_cell_length_b 9.507
_cell_length_c 2.908
_cell_angle_alpha 90.00
_cell_angle_beta 90.00
_cell_angle_gamma 90.00
_space_group_name_H-M_alt 'P 1'
_space_group_IT_number 1
_space_group_name_Hall 'P 1'
loop_
_atom_site_label
_atom_site_fract_x
_atom_site_fract_y
_atom_site_fract_z
Ir1 0.786 0.071 0.500
Ir2 0.714 0.571 0.500
Ir3 0.000 0.500 0.500
Ir4 0.929 0.786 0.500
Ir5 0.500 0.000 0.500
Ir6 0.071 0.214 0.500
Ir7 0.429 0.714 0.500
Ir8 0.286 0.429 0.500
Ir9 0.571 0.286 0.500
Ir10 0.214 0.929 0.500
Cr1 0.500 0.500 0.000
Cr2 0.000 0.000 0.000
B1 0.375 0.875 0.000
B2 0.875 0.625 0.000
B3 0.625 0.125 0.000
B4 0.125 0.375 0.000
Mg1 0.323 0.177 0.000
Mg2 0.823 0.323 0.000
Mg3 0.677 0.823 0.000
Mg4 0.177 0.677 0.000
```

Summary:
**DFT formation energy**: -39 kJ per mole of atoms
**Crystal system**: tetragonal
**Electronic total energy**: -7.456 eV/atom

[6]
The following is a PBE-GGA calculation of crystalline TmHgPb at its relaxed geometry, from Alexandria via LeMat-Bulk.

Cell and atoms, written as CIF:
```
data_TmHgPb
_cell_length_a 4.675
_cell_length_b 4.342
_cell_length_c 15.569
_cell_angle_alpha 90.00
_cell_angle_beta 90.00
_cell_angle_gamma 90.00
_space_group_name_H-M_alt 'P 1'
_space_group_IT_number 1
_space_group_name_Hall 'P 1'
loop_
_atom_site_label
_atom_site_fract_x
_atom_site_fract_y
_atom_site_fract_z
Tm1 0.000 0.750 0.099
Tm2 0.500 0.250 0.401
Tm3 0.500 0.750 0.599
Tm4 0.000 0.250 0.901
Pb1 0.500 0.250 0.078
Pb2 0.500 0.750 0.922
Pb3 0.000 0.250 0.578
Pb4 0.000 0.750 0.422
Hg1 0.501 0.250 0.756
Hg2 0.999 0.250 0.256
Hg3 0.001 0.750 0.744
Hg4 0.499 0.750 0.244
```

Summary:
**DFT formation energy**: -31 kJ per mole of atoms
**Crystal system**: orthorhombic
**Electronic total energy**: -3.147 eV/atom

[7]
The following is a PBE-GGA calculation of crystalline Ac2PmGd at its relaxed geometry, from Alexandria via LeMat-Bulk.

Cell and atoms, written as CIF:
```
data_Ac2PmGd
_cell_length_a 5.224
_cell_length_b 5.445
_cell_length_c 5.445
_cell_angle_alpha 90.00
_cell_angle_beta 90.00
_cell_angle_gamma 90.00
_space_group_name_H-M_alt 'P 1'
_space_group_IT_number 1
_space_group_name_Hall 'P 1'
loop_
_atom_site_label
_atom_site_fract_x
_atom_site_fract_y
_atom_site_fract_z
Ac1 0.000 0.000 0.500
Ac2 0.000 0.500 0.000
Pm1 0.500 0.500 0.500
Gd1 0.500 0.000 0.000
```

Summary:
**DFT formation energy**: 3 kJ per mole of atoms
**Crystal system**: tetragonal
**Electronic total energy**: -6.732 eV/atom
**Energy relative to the lowest polymorph listed for this composition**: 0 meV per atom

[8]
The following is a PBE-GGA calculation of crystalline Dy3Mg3Tl2Cd at its relaxed geometry, from Alexandria via LeMat-Bulk.

Cell and atoms, written as CIF:
```
data_Dy3Mg3Tl2Cd
_cell_length_a 4.582
_cell_length_b 7.593
_cell_length_c 7.593
_cell_angle_alpha 120.00
_cell_angle_beta 90.00
_cell_angle_gamma 90.00
_space_group_name_H-M_alt 'P 1'
_space_group_IT_number 1
_space_group_name_Hall 'P 1'
loop_
_atom_site_label
_atom_site_fract_x
_atom_site_fract_y
_atom_site_fract_z
Cd1 0.000 0.000 0.000
Dy1 0.000 0.427 0.000
Dy2 0.000 0.000 0.427
Dy3 0.000 0.573 0.573
Tl1 0.500 0.667 0.333
Tl2 0.500 0.333 0.667
Mg1 0.500 0.760 0.000
Mg2 0.500 0.000 0.760
Mg3 0.500 0.240 0.240
```

Summary:
**DFT formation energy**: -31 kJ per mole of atoms
**Crystal system**: hexagonal
**Electronic total energy**: -3.011 eV/atom

[9]
The following is a PBE-GGA calculation of crystalline Rb3TmTe3 at its relaxed geometry, from Alexandria via LeMat-Bulk.

Cell and atoms, written as CIF:
```
data_Rb3TmTe3
_cell_length_a 8.967
_cell_length_b 9.251
_cell_length_c 9.251
_cell_angle_alpha 113.92
_cell_angle_beta 95.88
_cell_angle_gamma 95.88
_space_group_name_H-M_alt 'P 1'
_space_group_IT_number 1
_space_group_name_Hall 'P 1'
loop_
_atom_site_label
_atom_site_fract_x
_atom_site_fract_y
_atom_site_fract_z
Rb1 0.500 0.823 0.177
Rb2 0.000 0.246 0.754
Rb3 0.000 0.754 0.246
Rb4 0.636 0.390 0.390
Rb5 0.364 0.610 0.610
Rb6 0.500 0.177 0.823
Te1 0.722 0.843 0.540
Te2 0.192 0.896 0.896
Te3 0.722 0.540 0.843
Te4 0.808 0.104 0.104
Te5 0.278 0.460 0.157
Te6 0.278 0.157 0.460
Tm1 0.144 0.176 0.176
Tm2 0.856 0.824 0.824
```

Summary:
**Formation energy from raw total energies**: -1.17 eV/atom
**Crystal system**: monoclinic
**Electronic total energy**: -3.571 eV/atom

[10]
The following is a PBE-GGA calculation of crystalline CsAlCr2W at its relaxed geometry, from Alexandria via LeMat-Bulk.

Cell and atoms, written as CIF:
```
data_CsAlCr2W
_cell_length_a 4.902
_cell_length_b 5.140
_cell_length_c 4.902
_cell_angle_alpha 90.00
_cell_angle_beta 90.00
_cell_angle_gamma 90.00
_space_group_name_H-M_alt 'P 1'
_space_group_IT_number 1
_space_group_name_Hall 'P 1'
loop_
_atom_site_label
_atom_site_fract_x
_atom_site_fract_y
_atom_site_fract_z
W1 0.000 0.500 0.000
Cs1 0.000 0.000 0.000
Al1 0.500 0.500 0.500
Cr1 0.500 0.000 0.000
Cr2 0.000 0.000 0.500
```

Summary:
**DFT formation energy**: 291 kJ per mole of atoms
**Crystal system**: tetragonal
**Electronic total energy**: -4.339 eV/atom

[11]
The following is a PBE-GGA calculation of crystalline AsPb2W at its relaxed geometry, from Alexandria via LeMat-Bulk.

Cell and atoms, written as CIF:
```
data_AsPb2W
_cell_length_a 5.704
_cell_length_b 5.704
_cell_length_c 6.464
_cell_angle_alpha 56.00
_cell_angle_beta 56.00
_cell_angle_gamma 33.66
_space_group_name_H-M_alt 'P 1'
_space_group_IT_number 1
_space_group_name_Hall 'P 1'
loop_
_atom_site_label
_atom_site_fract_x
_atom_site_fract_y
_atom_site_fract_z
Pb1 0.056 0.056 0.951
Pb2 0.181 0.181 0.329
W1 0.409 0.409 0.443
As1 0.855 0.855 0.777
```

Summary:
**DFT formation energy**: 46 kJ per mole of atoms
**Crystal system**: monoclinic
**Electronic total energy**: -5.774 eV/atom

[12]
The following is a PBE-GGA calculation of crystalline KMoRh at its relaxed geometry, from Alexandria via LeMat-Bulk.

Cell and atoms, written as CIF:
```
data_KMoRh
_cell_length_a 4.725
_cell_length_b 4.725
_cell_length_c 4.725
_cell_angle_alpha 60.00
_cell_angle_beta 60.00
_cell_angle_gamma 60.00
_space_group_name_H-M_alt 'P 1'
_space_group_IT_number 1
_space_group_name_Hall 'P 1'
loop_
_atom_site_label
_atom_site_fract_x
_atom_site_fract_y
_atom_site_fract_z
K1 0.250 0.250 0.250
Rh1 0.500 0.500 0.500
Mo1 0.000 0.000 0.000
```

Summary:
**DFT formation energy**: 233 kJ per mole of atoms
**Crystal system**: cubic
**Electronic total energy**: -4.015 eV/atom
**Energy relative to the lowest polymorph listed for this composition**: 1729 meV per atom

Number 1: magnetic moment 0.00 μB/f.u., D(E_F) 0.735 states/eV per atom. Number 2: magnetic moment 1.70 μB/f.u., D(E_F) 1.163 states/eV per atom. Number 3: magnetic moment 5.31 μB/f.u., D(E_F) 1.182 states/eV per atom. Number 4: magnetic moment 0.00 μB/f.u., D(E_F) 1.022 states/eV per atom. Number 5: magnetic moment 1.66 μB/f.u., D(E_F) 0.456 states/eV per atom. Number 6: magnetic moment 0.00 μB/f.u., D(E_F) 0.581 states/eV per atom. Number 7: magnetic moment 7.43 μB/f.u., D(E_F) 1.557 states/eV per atom. Number 8: magnetic moment 0.00 μB/f.u., D(E_F) 0.550 states/eV per atom. Number 9: magnetic moment 0.00 μB/f.u., D(E_F) 0.000 states/eV per atom. Number 10: magnetic moment 5.02 μB/f.u., D(E_F) 1.179 states/eV per atom. Number 11: magnetic moment 0.00 μB/f.u., D(E_F) 0.556 states/eV per atom. Number 12: magnetic moment 4.01 μB/f.u., D(E_F) 1.108 states/eV per atom.